{
  "formula": "CuNiIO2",
  "functional": "PBE with a Hubbard U",
  "state": "optimized geometry",
  "lattice_angstrom": [[3.724, 0.000, 0.000], [0.000, 3.724, 0.000], [0.000, 0.000, 6.345]],
  "species": ["Cu", "Ni", "I", "O", "O"],
  "fractional_positions": [[0.000, 0.000, 0.000], [0.500, 0.500, 0.500], [0.000, 0.000, 0.500], [0.000, 0.500, 0.000], [0.500, 0.000, 0.000]],
  "e_above_lowest_polymorph_mev_per_atom": 116,
  "rho_g_cm3": 5.304,
  "energy_ev_per_atom": -3.311,
  "vol_a3_per_cell": 88.0
}